No. 1
Entry from Alexandria via LeMat-Bulk: a relaxed TePb crystal (PBE).

Summary:
The calculation puts the raw formation energy at -0.24 eV per atom. Its crystal system is hexagonal. The space group is P6_3/m.

Cell lengths 12.1003, 12.1003, 4.4250 Å; angles 90.00, 90.00, 120.00 degrees
Atoms (fractional coordinates):
1 Te 0.6805 0.6575 0.7500
2 Te 0.6575 0.9770 0.2500
3 Te 0.3425 0.0230 0.7500
4 Te 0.3195 0.3425 0.2500
5 Te 0.0230 0.6805 0.2500
6 Te 0.9770 0.3195 0.7500
7 Pb 0.3516 0.8586 0.2500
8 Pb 0.8586 0.5070 0.7500
9 Pb 0.1414 0.4930 0.2500
10 Pb 0.5070 0.6484 0.2500
11 Pb 0.6484 0.1414 0.7500
12 Pb 0.4930 0.3516 0.7500

No. 2
Entry from Alexandria via LeMat-Bulk: a relaxed AgMoAs4 crystal (PBE).

Summary:
The formation energy is 438.5 kJ/mol of formula units. Its crystal system is cubic. The space group is F-43m.

Cell lengths 5.4399, 5.4399, 5.4399 Å; angles 60.00, 60.00, 60.00 degrees
Atoms (fractional coordinates):
1 Ag 0.0000 0.0000 0.0000
2 Mo 0.7500 0.7500 0.7500
3 As 0.8728 0.3757 0.3757
4 As 0.3757 0.3757 0.3757
5 As 0.3757 0.3757 0.8728
6 As 0.3757 0.8728 0.3757

No. 3
Entry from Alexandria via LeMat-Bulk: a relaxed ZrNiB crystal (PBE).

Summary:
The formation energy is -142.4 kJ/mol of formula units. Its crystal system is triclinic. The space group is P1.

Cell lengths 3.9022, 4.8798, 4.9313 Å; angles 103.58, 106.38, 108.84 degrees
Atoms (fractional coordinates):
1 Zr 0.6857 0.1387 0.7691
2 Zr 0.7155 0.5471 0.3816
3 B 0.2985 0.4778 0.6982
4 B 0.7500 0.7061 0.9412
5 Ni 0.3000 0.8074 0.0500
6 Ni 0.0201 0.1048 0.3286

No. 4
Entry from Alexandria via LeMat-Bulk: a relaxed La2Tb2Y crystal (PBE).

Summary:
The value obtained for the energy relative to the lowest polymorph listed for this composition is 0.000 eV per atom. The formation energy is 12.5 kJ/mol of formula units. Its crystal system is monoclinic. The space group is C2/c.

Cell lengths 6.3606, 8.6592, 6.9124 Å; angles 103.07, 90.00, 111.55 degrees
Atoms (fractional coordinates):
1 Y 0.5824 0.0000 0.7500
2 Y 0.4176 0.0000 0.2500
3 La 0.0202 0.2016 0.4446
4 La 0.8185 0.7984 0.0554
5 La 0.1815 0.2016 0.9446
6 La 0.9798 0.7984 0.5554
7 Tb 0.3800 0.5994 0.3493
8 Tb 0.2194 0.5994 0.8493
9 Tb 0.6200 0.4006 0.6507
10 Tb 0.7806 0.4006 0.1507

No. 5
Entry from Alexandria via LeMat-Bulk: a relaxed CePrDy2Bi4 crystal (PBE).

Summary:
The formation energy is -668.5 kJ/mol of formula units. Its crystal system is monoclinic. The space group is P2/m.

Cell lengths 4.5502, 7.8698, 7.8866 Å; angles 70.56, 90.00, 90.00 degrees
Atoms (fractional coordinates):
1 Bi 0.5000 0.7579 0.2492
2 Bi 0.0000 0.7590 0.7447
3 Bi 0.5000 0.2421 0.7508
4 Bi 0.0000 0.2410 0.2553
5 Ce 0.0000 0.5000 0.5000
6 Pr 0.5000 0.5000 0.0000
7 Dy 0.0000 0.0000 0.0000
8 Dy 0.5000 0.0000 0.5000

No. 6
Entry from Alexandria via LeMat-Bulk: a relaxed Zr2Nb crystal (PBE).

Summary:
The formation energy is 10.2 kJ/mol of formula units. Its crystal system is tetragonal. The space group is P4/nmm.

Cell lengths 3.3454, 3.3454, 11.5377 Å; angles 90.00, 90.00, 90.00 degrees
Atoms (fractional coordinates):
1 Zr 0.0000 0.5000 0.7749
2 Zr 0.5000 0.0000 0.5910
3 Zr 0.0000 0.5000 0.4091
4 Zr 0.5000 0.0000 0.2251
5 Nb 0.5000 0.0000 0.9358
6 Nb 0.0000 0.5000 0.0642

No. 7
Entry from Alexandria via LeMat-Bulk: a relaxed KAs2Cl crystal (PBE).

Summary:
The calculation puts the raw formation energy at 0.51 eV per atom. The value obtained for the energy relative to the lowest polymorph listed for this composition is 1.209 eV per atom. Its crystal system is cubic. The space group is Fm-3m.

Cell lengths 5.2308, 5.2308, 5.2308 Å; angles 60.00, 60.00, 60.00 degrees
Atoms (fractional coordinates):
1 As 0.2500 0.2500 0.2500
2 As 0.7500 0.7500 0.7500
3 K 0.5000 0.5000 0.5000
4 Cl 0.0000 0.0000 0.0000